# 1
LiZrW | GGA-PBE | relaxed

Geometry as POSCAR:
```
LiZrW
1.0
-0.8568 -0.1675 -7.6576
-0.8309 -2.8869 -6.9261
-2.6851 0.7539 -0.3910
Li W Zr
1 1 1
Direct
0.0105 0.0105 0.9895 Li
0.6671 0.6671 0.3329 W
0.3224 0.3224 0.6776 Zr
```

## Properties
DFT formation energy = 0.35 eV per atom
Excess energy over the best structure of this formula in the dataset = 0.000 eV per atom
VASP energy = -7.45 eV per atom
Space-group type = No. 42

---

# 2
BeC | GGA-PBE | relaxed

Geometry as POSCAR:
```
BeC
1.0
1.9471 0.0000 0.0000
0.0000 6.7762 0.0000
0.0000 0.0000 2.9744
Be C
2 2
Direct
0.0000 0.0000 0.9169 Be
0.0000 0.5000 0.4164 Be
0.5000 0.0000 0.4169 C
0.5000 0.5000 0.9164 C
```

## Properties
DFT formation energy = 1.07 eV per atom
Excess energy over the best structure of this formula in the dataset = 0.750 eV per atom
VASP energy = -5.41 eV per atom
Space-group type = No. 65

---

# 3
Li3HfHg4 | GGA-PBE | relaxed

Geometry as POSCAR:
```
Li3HfHg4
1.0
3.3063 0.0000 0.0000
0.0000 3.3063 0.0000
0.0000 0.0000 13.7430
Hf Hg Li
1 4 3
Direct
0.5000 0.5000 0.0000 Hf
0.0000 0.0000 0.8581 Hg
0.0000 0.0000 0.1419 Hg
0.0000 0.0000 0.3814 Hg
0.0000 0.0000 0.6186 Hg
0.5000 0.5000 0.2610 Li
0.5000 0.5000 0.5000 Li
0.5000 0.5000 0.7390 Li
```

## Properties
DFT formation energy = -0.26 eV per atom
VASP energy = -2.38 eV per atom
Space-group type = No. 123